Density functional theory data (GGA-PBEsol) for a relaxed Mg2Ag crystal.

Unit cell a=6.6078 b=6.6078 c=5.5472 alpha=90.00 beta=90.00 gamma=90.00
Closest atoms and distances in Å follow each position.
Space group I4/mcm (No. 140)
Asymmetric unit:
Mg1 0.1663 0.3337 0.0000 (multiplicity 8)  4 Ag 2.83, 1 Mg 3.11
Ag1 0.0000 0.0000 0.2500 (multiplicity 4)  2 Ag 2.77, 8 Mg 2.83

Output
Density of states at the Fermi level: 0.295 states/eV per atom
Calculated density: 4.3 Mg/m³
Energy relative to the elements: -167 meV per atom
Energy: -28.98 eV for the cell shown

Density functional theory data (GGA-PBEsol) for a relaxed Y2SbAs crystal.

Unit cell a=4.2003 b=4.2003 c=5.9430 alpha=90.00 beta=90.00 gamma=90.00
Closest atoms and distances in Å follow each position.
Space group P4/mmm (No. 123)
Asymmetric unit:
Y1 0.0000 0.0000 0.0000 (multiplicity 1)  4 As 2.97, 2 Sb 2.97
Y2 0.5000 0.5000 0.5000 (multiplicity 1)  4 Sb 2.97, 2 As 2.97
Sb1 0.0000 0.0000 0.5000 (multiplicity 1)  6 Y 2.97
As1 0.5000 0.5000 0.0000 (multiplicity 1)  6 Y 2.97

Output
Density of states at the Fermi level: 0.138 states/eV per atom
Formation energy from raw total energies: -1337 meV per atom
Calculated density: 5.9 Mg/m³
Energy: -28.66 eV for the cell shown

Density functional theory data (GGA-PBEsol) for a relaxed CaSbP2 crystal.

Unit cell a=6.2580 b=6.9879 c=3.6641 alpha=90.00 beta=90.00 gamma=90.00
Closest atoms and distances in Å follow each position.
Space group Cmmm (No. 65)
Asymmetric unit:
Ca1 0.0000 0.0000 0.0000 (multiplicity 2)  8 P 2.98, 2 Sb 3.13
Sb1 0.0000 0.5000 0.0000 (multiplicity 2)  8 P 2.98, 2 Ca 3.13
P1 0.2500 0.2500 0.5000 (multiplicity 4)  4 Sb 2.98, 4 Ca 2.98, 2 P 3.13

Output
Density of states at the Fermi level: 0.573 states/eV per atom
Formation energy from raw total energies: -281 meV per atom
Calculated density: 4.6 Mg/m³
Energy: -38.79 eV for the cell shown

Density functional theory data (GGA-PBEsol) for a relaxed Rh2WAu crystal.

Unit cell a=4.7321 b=2.7648 c=4.8355 alpha=90.00 beta=111.35 gamma=90.00
Closest atoms and distances in Å follow each position.
Space group P2/m (No. 10)
Asymmetric unit:
Rh1 0.0000 0.0000 0.0000 (multiplicity 1)  2 W 2.70, 4 Au 2.74, 6 Rh 2.76-2.79
Rh2 0.0000 0.5000 0.5000 (multiplicity 1)  2 Au 2.70, 4 W 2.74, 6 Rh 2.76-2.79
W1 0.5000 0.0000 0.5000 (multiplicity 1)  6 Rh 2.70-2.74, 2 W 2.76, 4 Au 2.79
Au1 0.5000 0.5000 0.0000 (multiplicity 1)  6 Rh 2.70-2.74, 2 Au 2.76, 4 W 2.79

Output
Density of states at the Fermi level: 0.970 states/eV per atom
Calculated density: 16.5 Mg/m³
E above lowest polymorph: 223.7 meV/atom
Energy relative to the elements: 120 meV per atom
Energy: -33.53 eV for the cell shown

Density functional theory data (GGA-PBEsol) for a relaxed Ba3La3Ti4NbO18 crystal.

Unit cell a=5.6052 b=5.6052 c=40.6968 alpha=90.00 beta=90.00 gamma=120.00
Closest atoms and distances in Å follow each position.
Space group R3m (No. 160, hexagonal axes)
Asymmetric unit:
Ba1 0.0000 0.0000 0.0000 (multiplicity 3)  9 O 2.70-2.81
Ba2 0.0000 0.0000 0.1735 (multiplicity 3)  12 O 2.75-2.81
Ba3 0.0000 0.0000 0.7268 (multiplicity 3)  12 O 2.75-2.82
La1 0.0000 0.0000 0.4499 (multiplicity 3)  12 O 2.68-2.80
La2 0.0000 0.0000 0.6250 (multiplicity 3)  3 O 2.47
La3 0.0000 0.0000 0.9018 (multiplicity 3)  3 O 2.40
Ti1 0.0000 0.0000 0.0888 (multiplicity 3)  6 O 1.94-1.98
Ti2 0.0000 0.0000 0.2600 (multiplicity 3)  3 O 1.84
Ti3 0.0000 0.0000 0.5362 (multiplicity 3)  6 O 1.88-2.06
Ti4 0.0000 0.0000 0.8129 (multiplicity 3)  6 O 1.92-2.01
Nb1 0.0000 0.0000 0.3613 (multiplicity 3)  3 O 1.90
O1 0.9999 0.4999 0.4504 (multiplicity 9)  2 Ti 1.98-2.01
O2 0.0045 0.5022 0.1709 (multiplicity 9)  2 Ti 1.92-2.06
O3 0.0083 0.5041 0.6128 (multiplicity 9)  1 Ti 1.84
O4 0.1697 0.3394 0.0635 (multiplicity 9)  1 Ti 1.94, 1 Nb 2.15
O5 0.1697 0.3394 0.3382 (multiplicity 9)  1 Nb 1.90
O6 0.1699 0.3398 0.2277 (multiplicity 9)  1 Ti 1.88

Output
Density of states at the Fermi level: 0.000 states/eV per atom
Formation energy from raw total energies: -3165 meV per atom
Calculated density: 6.3 Mg/m³
Energy: -758.58 eV for the cell shown

Density functional theory data (GGA-PBEsol) for a relaxed CoSbAs2 crystal.

Unit cell a=3.5956 b=3.5956 c=19.2829 alpha=90.00 beta=90.00 gamma=120.00
Closest atoms and distances in Å follow each position.
Space group R3m (No. 160, hexagonal axes)
Asymmetric unit:
Co1 0.0000 0.0000 0.0000 (multiplicity 3)  3 As 2.35, 3 Sb 2.59
Sb1 0.0000 0.0000 0.2526 (multiplicity 3)  3 Co 2.59, 3 As 2.83
As1 0.0000 0.0000 0.4863 (multiplicity 3)  3 As 2.78, 3 Sb 2.83
As2 0.0000 0.0000 0.7241 (multiplicity 3)  3 Co 2.35

Output
Density of states at the Fermi level: 0.683 states/eV per atom
Formation energy from raw total energies: 109 meV per atom
Calculated density: 7.6 Mg/m³
Energy: -66.22 eV for the cell shown

Density functional theory data (GGA-PBEsol) for a relaxed NaAlNi2Ge crystal.

Unit cell a=4.3338 b=4.3338 c=4.8557 alpha=90.00 beta=90.00 gamma=90.00
Closest atoms and distances in Å follow each position.
Space group P4/mmm (No. 123)
Asymmetric unit:
Na1 0.0000 0.0000 0.0000 (multiplicity 1)  2 Al 2.43
Al1 0.0000 0.0000 0.5000 (multiplicity 1)  4 Ni 2.17
Ni1 0.0000 0.5000 0.5000 (multiplicity 2)  2 Al 2.17
Ge1 0.5000 0.5000 0.0000 (multiplicity 1)  4 Na 3.06, 8 Ni 3.25

Output
Density of states at the Fermi level: 0.671 states/eV per atom
Calculated density: 4.4 Mg/m³
Energy relative to the elements: 796 meV per atom
Energy: -18.77 eV for the cell shown

Density functional theory data (GGA-PBEsol) for a relaxed NbCrP crystal.

Unit cell a=6.2168 b=3.5041 c=7.3156 alpha=90.00 beta=90.00 gamma=90.00
Closest atoms and distances in Å follow each position.
Space group Pnma (No. 62)
Asymmetric unit:
Nb1 0.0311 0.2500 0.1725 (multiplicity 4)  5 P 2.58-2.68, 4 Cr 2.81-2.84
Cr1 0.1418 0.2500 0.5589 (multiplicity 4)  4 P 2.30-2.40
P1 0.2298 0.7500 0.3684 (multiplicity 4)  4 Cr 2.30-2.40, 2 Nb 2.58

Output
Density of states at the Fermi level: 0.925 states/eV per atom
Calculated density: 7.3 Mg/m³
Energy relative to the elements: -781 meV per atom
Energy: -116.79 eV for the cell shown

Density functional theory data (GGA-PBEsol) for a relaxed V3Sb2 crystal.

Unit cell a=5.4474 b=5.4474 c=20.2072 alpha=90.00 beta=90.00 gamma=120.00
Closest atoms and distances in Å follow each position.
Space group R-3m (No. 166, hexagonal axes)
Asymmetric unit:
V1 0.0176 0.5088 0.1104 (multiplicity 18)  6 V 2.58-2.87, 5 Sb 2.72-2.82
Sb1 0.0000 0.0000 0.1100 (multiplicity 6)  9 V 2.72-2.82
Sb2 0.0000 0.0000 0.3310 (multiplicity 6)  6 V 2.72-2.74

Output
Density of states at the Fermi level: 1.078 states/eV per atom
Formation energy from raw total energies: -182 meV per atom
Calculated density: 7.6 Mg/m³
Energy: -233.57 eV for the cell shown

Density functional theory data (GGA-PBEsol) for a relaxed SnP3Se crystal.

Unit cell a=4.7161 b=4.7161 c=4.7161 alpha=90.00 beta=90.00 gamma=90.00
Closest atoms and distances in Å follow each position.
Space group Pm-3m (No. 221)
Asymmetric unit:
Sn1 0.0000 0.0000 0.0000 (multiplicity 1)  12 P 3.33
P1 0.0000 0.5000 0.5000 (multiplicity 3)  2 Se 2.36
Se1 0.5000 0.5000 0.5000 (multiplicity 1)  6 P 2.36

Output
Density of states at the Fermi level: 1.000 states/eV per atom
Formation energy from raw total energies: 850 meV per atom
Calculated density: 4.6 Mg/m³
Energy: -21.23 eV for the cell shown

Please write out number 1 again, unchanged.
Density functional theory data (GGA-PBEsol) for a relaxed Mg2Ag crystal.

Unit cell a=6.6078 b=6.6078 c=5.5472 alpha=90.00 beta=90.00 gamma=90.00
Closest atoms and distances in Å follow each position.
Space group I4/mcm (No. 140)
Asymmetric unit:
Mg1 0.1663 0.3337 0.0000 (multiplicity 8)  4 Ag 2.83, 1 Mg 3.11
Ag1 0.0000 0.0000 0.2500 (multiplicity 4)  2 Ag 2.77, 8 Mg 2.83

Output
Density of states at the Fermi level: 0.295 states/eV per atom
Calculated density: 4.3 Mg/m³
Energy relative to the elements: -167 meV per atom
Energy: -28.98 eV for the cell shown

Among the records above, which one has the highest energy?
NaAlNi2Ge